(1)
A plane-wave DFT calculation with PBE-GGA was carried out for a relaxed LaAgRu3 crystal.

Geometry as CIF:
```
data_LaAgRu3
_chemical_formula_sum 'La1 Ag1 Ru3'
_symmetry_space_group_name_H-M 'P m -3 m'
_symmetry_Int_Tables_number 221
_symmetry_space_group_name_Hall '-P 4 2 3'
_cell_length_a 4.8161
_cell_length_b 4.8161
_cell_length_c 4.8161
_cell_angle_alpha 90.00
_cell_angle_beta 90.00
_cell_angle_gamma 90.00
loop_
_atom_site_label
_atom_site_type_symbol
_atom_site_fract_x
_atom_site_fract_y
_atom_site_fract_z
La1 La 0.0000 0.0000 0.0000
Ag1 Ag 0.5000 0.5000 0.5000
Ru1 Ru 0.0000 0.0000 0.5000
```

Calculated formation energy   1.795 eV per atom
ΔE to the lowest computed polymorph   355 meV/atom

---

(2)
A plane-wave DFT calculation with PBE-GGA was carried out for a relaxed LaAg2Ru crystal.

Geometry as CIF:
```
data_LaAg2Ru
_chemical_formula_sum 'La4 Ag8 Ru4'
_symmetry_space_group_name_H-M 'F m -3 m'
_symmetry_Int_Tables_number 225
_symmetry_space_group_name_Hall '-F 4 2 3'
_cell_length_a 6.9605
_cell_length_b 6.9605
_cell_length_c 6.9605
_cell_angle_alpha 90.00
_cell_angle_beta 90.00
_cell_angle_gamma 90.00
loop_
_atom_site_label
_atom_site_type_symbol
_atom_site_fract_x
_atom_site_fract_y
_atom_site_fract_z
La1 La 0.0000 0.0000 0.0000
Ag1 Ag 0.2500 0.2500 0.2500
Ru1 Ru 0.0000 0.0000 0.5000
```

Calculated formation energy   0.238 eV per atom
ΔE to the lowest computed polymorph   245 meV/atom

---

(3)
A plane-wave DFT calculation with PBE-GGA was carried out for a relaxed La2AgRu crystal.

Geometry as CIF:
```
data_La2AgRu
_chemical_formula_sum 'La2 Ag1 Ru1'
_symmetry_space_group_name_H-M 'P m m 2'
_symmetry_Int_Tables_number 25
_cell_length_a 3.6591
_cell_length_b 3.8716
_cell_length_c 6.7994
_cell_angle_alpha 90.00
_cell_angle_beta 90.00
_cell_angle_gamma 90.00
loop_
_symmetry_equiv_pos_as_xyz
'x,y,z'
'-x,-y,z'
'-x,y,z'
'x,-y,z'
loop_
_atom_site_label
_atom_site_type_symbol
_atom_site_fract_x
_atom_site_fract_y
_atom_site_fract_z
La1 La 0.0000 0.0000 0.0000
La2 La 0.5000 0.5000 0.3422
Ag1 Ag 0.5000 0.5000 0.7734
Ru1 Ru 0.0000 0.0000 0.5609
```

Calculated formation energy   0.087 eV per atom